# 1
A relaxed structure of Y2ReMo. Source: the Alexandria database, functional PBE.

- Offset from the most stable computed form: 365 meV per atom

Cell and atoms, written as CIF:
```
data_Y2ReMo
_cell_length_a 3.2893
_cell_length_b 3.2893
_cell_length_c 29.3270
_cell_angle_alpha 90.00
_cell_angle_beta 90.00
_cell_angle_gamma 120.00
_symmetry_space_group_name_H-M 'R 3 m'
_symmetry_Int_Tables_number 160
_symmetry_space_group_name_Hall 'R 3 -2"'
loop_
_atom_site_label
_atom_site_type_symbol
_atom_site_fract_x
_atom_site_fract_y
_atom_site_fract_z
Y1 Y 0.0000 0.0000 0.0000
Y2 Y 0.0000 0.0000 0.2238
Re1 Re 0.0000 0.0000 0.4758
Mo1 Mo 0.0000 0.0000 0.7520
```

# 2
A relaxed structure of YReMo2. Source: the Alexandria database, functional PBE.

- Offset from the most stable computed form: 0 meV per atom

Cell and atoms, written as CIF:
```
data_YReMo2
_cell_length_a 3.215
_cell_length_b 3.215
_cell_length_c 7.110
_cell_angle_alpha 90.00
_cell_angle_beta 90.00
_cell_angle_gamma 90.00
_symmetry_space_group_name_H-M 'P 4 m m'
_symmetry_Int_Tables_number 99
_symmetry_space_group_name_Hall 'P 4 -2'
loop_
_atom_site_label
_atom_site_type_symbol
_atom_site_fract_x
_atom_site_fract_y
_atom_site_fract_z
Y1 Y 0.000 0.000 0.000
Re1 Re 0.500 0.500 0.708
Mo1 Mo 0.000 0.000 0.506
Mo2 Mo 0.500 0.500 0.296
```

# 3
A relaxed structure of YReMo. Source: the Alexandria database, functional PBE.

- Offset from the most stable computed form: 1987 meV per atom

Cell and atoms, written as CIF:
```
data_YReMo
_cell_length_a 6.430
_cell_length_b 6.430
_cell_length_c 6.430
_cell_angle_alpha 90.00
_cell_angle_beta 90.00
_cell_angle_gamma 90.00
_symmetry_space_group_name_H-M 'F -4 3 m'
_symmetry_Int_Tables_number 216
_symmetry_space_group_name_Hall 'F -4 2 3'
loop_
_atom_site_label
_atom_site_type_symbol
_atom_site_fract_x
_atom_site_fract_y
_atom_site_fract_z
Y1 Y 0.000 0.000 0.000
Re1 Re 0.250 0.250 0.750
Mo1 Mo 0.250 0.250 0.250
```

# 4
A relaxed structure of YReMo3. Source: the Alexandria database, functional PBE.

- Offset from the most stable computed form: 0 meV per atom

Cell and atoms, written as CIF:
```
data_YReMo3
_cell_length_a 4.810
_cell_length_b 4.810
_cell_length_c 4.810
_cell_angle_alpha 90.00
_cell_angle_beta 90.00
_cell_angle_gamma 90.00
_symmetry_space_group_name_H-M 'P m -3 m'
_symmetry_Int_Tables_number 221
_symmetry_space_group_name_Hall '-P 4 2 3'
loop_
_atom_site_label
_atom_site_type_symbol
_atom_site_fract_x
_atom_site_fract_y
_atom_site_fract_z
Y1 Y 0.000 0.000 0.000
Re1 Re 0.500 0.500 0.500
Mo1 Mo 0.000 0.500 0.500
```

# 5
A relaxed structure of YReMo. Source: the Alexandria database, functional PBE.

- Offset from the most stable computed form: 499 meV per atom

Cell and atoms, written as CIF:
```
data_YReMo
_cell_length_a 3.281
_cell_length_b 4.832
_cell_length_c 14.102
_cell_angle_alpha 90.00
_cell_angle_beta 90.00
_cell_angle_gamma 90.00
_symmetry_space_group_name_H-M 'F m m 2'
_symmetry_Int_Tables_number 42
_symmetry_space_group_name_Hall 'F 2 -2'
loop_
_atom_site_label
_atom_site_type_symbol
_atom_site_fract_x
_atom_site_fract_y
_atom_site_fract_z
Y1 Y 0.000 0.000 0.000
Re1 Re 0.000 0.000 0.676
Mo1 Mo 0.000 0.000 0.316
```

# 6
A relaxed structure of Y2ReMo. Source: the Alexandria database, functional PBE.

- Offset from the most stable computed form: 483 meV per atom

Cell and atoms, written as CIF:
```
data_Y2ReMo
_cell_length_a 3.488
_cell_length_b 4.908
_cell_length_c 9.542
_cell_angle_alpha 90.00
_cell_angle_beta 90.00
_cell_angle_gamma 90.00
_symmetry_space_group_name_H-M 'C m m m'
_symmetry_Int_Tables_number 65
_symmetry_space_group_name_Hall '-C 2 2'
loop_
_atom_site_label
_atom_site_type_symbol
_atom_site_fract_x
_atom_site_fract_y
_atom_site_fract_z
Y1 Y 0.000 0.000 0.242
Re1 Re 0.000 0.500 0.000
Mo1 Mo 0.000 0.500 0.500
```